! In2CoCl PBE optimized geometry; values from VASP
&SYSTEM
  ibrav = 0, nat = 4, ntyp = 3
/
ATOMIC_SPECIES
In 114.82 In.upf
Co 58.93 Co.upf
Cl 35.45 Cl.upf
ATOMIC_POSITIONS angstrom
In 0.000 0.000 0.000
In 0.000 2.001 3.023
Co 0.000 0.000 6.047
Cl 2.001 0.000 3.023
CELL_PARAMETERS angstrom
-2.001 2.001 6.047
2.001 -2.001 6.047
2.001 2.001 -6.047
! DOS(E_F)   0.509 states/eV per atom
! Space group   I-4m2
! Volume   96.85 Å³/f.u.
! Uncorrected energy   -13.3 eV/cell

***

! InCo3Cl PBE optimized geometry; values from VASP
&SYSTEM
  ibrav = 0, nat = 5, ntyp = 3
/
ATOMIC_SPECIES
In 114.82 In.upf
Co 58.93 Co.upf
Cl 35.45 Cl.upf
ATOMIC_POSITIONS angstrom
In 0.000 0.000 0.000
Co 0.000 2.077 2.077
Co 2.077 0.000 2.077
Co 2.077 2.077 0.000
Cl 2.077 2.077 2.077
CELL_PARAMETERS angstrom
4.155 0.000 0.000
0.000 4.155 0.000
0.000 0.000 4.155
! DOS(E_F)   1.049 states/eV per atom
! Space group   Pm-3m
! Volume   71.72 Å³/f.u.
! Uncorrected energy   -22.7 eV/cell

***

! InCoCl PBE optimized geometry; values from VASP
&SYSTEM
  ibrav = 0, nat = 3, ntyp = 3
/
ATOMIC_SPECIES
In 114.82 In.upf
Co 58.93 Co.upf
Cl 35.45 Cl.upf
ATOMIC_POSITIONS angstrom
In 0.000 0.000 0.000
Co 4.689 4.689 4.689
Cl 3.126 3.126 3.126
CELL_PARAMETERS angstrom
0.000 3.126 3.126
3.126 0.000 3.126
3.126 3.126 0.000
! DOS(E_F)   2.308 states/eV per atom
! Space group   F-43m
! Volume   61.09 Å³/f.u.
! Uncorrected energy   -10.5 eV/cell

***

! In2CoCl PBE optimized geometry; values from VASP
&SYSTEM
  ibrav = 0, nat = 4, ntyp = 3
/
ATOMIC_SPECIES
In 114.82 In.upf
Co 58.93 Co.upf
Cl 35.45 Cl.upf
ATOMIC_POSITIONS angstrom
In 1.777 1.777 1.777
In 5.331 5.331 5.331
Co 0.000 0.000 0.000
Cl 3.554 3.554 3.554
CELL_PARAMETERS angstrom
0.000 3.554 3.554
3.554 0.000 3.554
3.554 3.554 0.000
! DOS(E_F)   3.664 states/eV per atom
! Space group   Fm-3m
! Volume   89.76 Å³/f.u.
! Uncorrected energy   -13.0 eV/cell

***

! In2CoCl PBE optimized geometry; values from VASP
&SYSTEM
  ibrav = 0, nat = 4, ntyp = 3
/
ATOMIC_SPECIES
In 114.82 In.upf
Co 58.93 Co.upf
Cl 35.45 Cl.upf
ATOMIC_POSITIONS angstrom
In 1.006 0.000 1.687
In 2.897 0.000 6.244
Co 2.999 0.000 0.000
Cl -1.048 0.000 3.966
CELL_PARAMETERS angstrom
2.999 -1.722 0.000
2.999 1.722 0.000
-2.095 0.000 7.931
! DOS(E_F)   0.648 states/eV per atom
! Space group   C2/m
! Volume   81.92 Å³/f.u.
! Uncorrected energy   -14.7 eV/cell

***

! InCoCl2 PBE optimized geometry; values from VASP
&SYSTEM
  ibrav = 0, nat = 4, ntyp = 3
/
ATOMIC_SPECIES
In 114.82 In.upf
Co 58.93 Co.upf
Cl 35.45 Cl.upf
ATOMIC_POSITIONS angstrom
In 0.000 0.000 0.000
Co 0.000 3.326 2.428
Cl 1.656 0.000 2.078
Cl 0.000 0.000 5.372
CELL_PARAMETERS angstrom
-1.656 3.326 4.530
1.656 -3.326 4.530
1.656 3.326 -4.530
! DOS(E_F)   0.437 states/eV per atom
! Space group   Imm2
! Volume   99.80 Å³/f.u.
! Uncorrected energy   -14.4 eV/cell

***

! InCoCl2 PBE optimized geometry; values from VASP
&SYSTEM
  ibrav = 0, nat = 4, ntyp = 3
/
ATOMIC_SPECIES
In 114.82 In.upf
Co 58.93 Co.upf
Cl 35.45 Cl.upf
ATOMIC_POSITIONS angstrom
In 0.000 0.000 0.000
Co 0.000 0.000 4.442
Cl 1.689 0.000 2.845
Cl 1.689 0.000 6.039
CELL_PARAMETERS angstrom
1.689 -3.301 0.000
1.689 3.301 0.000
0.000 0.000 8.885
! DOS(E_F)   1.196 states/eV per atom
! Space group   Cmmm
! Volume   99.06 Å³/f.u.
! Uncorrected energy   -14.6 eV/cell

***

! InCoCl2 PBE optimized geometry; values from VASP
&SYSTEM
  ibrav = 0, nat = 4, ntyp = 3
/
ATOMIC_SPECIES
In 114.82 In.upf
Co 58.93 Co.upf
Cl 35.45 Cl.upf
ATOMIC_POSITIONS angstrom
In 0.000 0.000 0.000
Co 1.732 0.000 2.968
Cl 0.000 2.141 2.968
Cl 1.732 2.141 0.000
CELL_PARAMETERS angstrom
3.465 0.000 0.000
0.000 4.282 0.000
0.000 0.000 5.936
! DOS(E_F)   0.868 states/eV per atom
! Space group   Pmmm
! Volume   88.06 Å³/f.u.
! Uncorrected energy   -13.1 eV/cell